Here is a relaxed structure of AlZn2 from the Alexandria database. Energies are from PBE-GGA.

Unit cell a=4.323 b=4.323 c=2.991 alpha=90.00 beta=90.00 gamma=90.00
Fractional positions:
Al (0.000, 0.000, 0.000)
Zn (0.000, 0.500, 0.500)
Zn (0.500, 0.000, 0.500)

Results
E = -1.9378 eV per atom
ΔE_f = 159 meV per atom
Crystal system = tetragonal

Here is a relaxed structure of BeCr2Re from the Alexandria database. Energies are from PBE-GGA.

Unit cell a=4.742 b=4.742 c=4.742 alpha=143.67 beta=131.17 gamma=62.36
Fractional positions:
Be (0.000, 0.000, 0.000)
Cr (0.253, 0.753, 0.500)
Cr (0.747, 0.247, 0.500)
Re (0.500, 0.500, 0.000)

Results
E = -8.8201 eV per atom
ΔE_f = 35 meV per atom
Crystal system = orthorhombic

Here is a relaxed structure of ZnIn2Si from the Alexandria database. Energies are from PBE-GGA.

Unit cell a=4.153 b=4.153 c=6.731 alpha=107.68 beta=107.68 gamma=59.52
Fractional positions:
Zn (0.000, 0.000, 0.000)
In (0.549, 0.549, 0.642)
In (0.758, 0.758, 0.281)
Si (0.308, 0.308, 0.926)

Results
E = -2.8630 eV per atom
Crystal system = monoclinic
Energy above the most stable polymorph in this dataset = 0 meV per atom
E_form (uncorrected) = 0.180 eV per atom

Here is a relaxed structure of Ca2Pr from the Alexandria database. Energies are from PBE-GGA.

Unit cell a=8.767 b=8.767 c=8.767 alpha=155.22 beta=155.22 gamma=35.33
Fractional positions:
Ca (0.162, 0.162, 0.000)
Ca (0.838, 0.838, 0.000)
Pr (0.500, 0.500, 0.000)

Results
E = -2.8602 eV per atom
ΔE_f = 67 meV per atom
Crystal system = tetragonal
Energy above the most stable polymorph in this dataset = 12 meV per atom

Here is a relaxed structure of LiAcBi2 from the Alexandria database. Energies are from PBE-GGA.

Unit cell a=5.208 b=5.208 c=4.648 alpha=90.00 beta=90.00 gamma=90.00
Fractional positions:
Li (0.000, 0.000, 0.000)
Ac (0.500, 0.500, 0.000)
Bi (0.000, 0.500, 0.500)
Bi (0.500, 0.000, 0.500)

Results
E = -4.0268 eV per atom
ΔE_f = -581 meV per atom
Crystal system = tetragonal
Energy above the most stable polymorph in this dataset = 149 meV per atom

Here is a relaxed structure of Er2Cd3Hg4 from the Alexandria database. Energies are from PBE-GGA.

Unit cell a=5.075 b=5.075 c=9.549 alpha=92.43 beta=92.43 gamma=58.76
Fractional positions:
Er (0.173, 0.173, 0.216)
Er (0.827, 0.827, 0.784)
Cd (0.163, 0.163, 0.563)
Cd (0.500, 0.500, 0.000)
Cd (0.837, 0.837, 0.437)
Hg (0.164, 0.164, 0.892)
Hg (0.491, 0.491, 0.664)
Hg (0.509, 0.509, 0.336)
Hg (0.836, 0.836, 0.108)

Results
E = -1.7274 eV per atom
ΔE_f = -274 meV per atom
Crystal system = monoclinic
Energy above the most stable polymorph in this dataset = 0 meV per atom

Here is a relaxed structure of Re2MoSe from the Alexandria database. Energies are from PBE-GGA.

Unit cell a=2.922 b=3.995 c=5.390 alpha=90.00 beta=90.00 gamma=90.00
Fractional positions:
Re (0.000, 0.000, 0.000)
Re (0.500, 0.500, 0.185)
Mo (0.500, 0.500, 0.696)
Se (0.000, 0.000, 0.492)

Results
E = -9.3862 eV per atom
Crystal system = orthorhombic
E_form (uncorrected) = 0.417 eV per atom

Here is a relaxed structure of Sr2Al3CdAg4 from the Alexandria database. Energies are from PBE-GGA.

Unit cell a=4.612 b=4.612 c=10.949 alpha=90.00 beta=90.00 gamma=90.00
Fractional positions:
Sr (0.000, 0.500, 0.244)
Sr (0.500, 0.000, 0.756)
Al (0.000, 0.500, 0.882)
Al (0.500, 0.000, 0.118)
Al (0.500, 0.500, 0.500)
Cd (0.000, 0.000, 0.500)
Ag (0.000, 0.000, 0.000)
Ag (0.000, 0.500, 0.645)
Ag (0.500, 0.000, 0.355)
Ag (0.500, 0.500, 0.000)

Results
E = -2.9208 eV per atom
ΔE_f = -230 meV per atom
Crystal system = tetragonal

Here is a relaxed structure of TiNbPbO6 from the Alexandria database. Energies are from PBE-GGA.

Unit cell a=5.288 b=5.288 c=9.929 alpha=90.00 beta=90.00 gamma=120.00
Fractional positions:
Ti (0.333, 0.667, 0.250)
Ti (0.667, 0.333, 0.750)
Nb (0.333, 0.667, 0.750)
Nb (0.667, 0.333, 0.250)
Pb (0.000, 0.000, 0.000)
Pb (0.000, 0.000, 0.500)
O (0.005, 0.372, 0.141)
O (0.005, 0.633, 0.359)
O (0.367, 0.372, 0.359)
O (0.367, 0.995, 0.141)
O (0.372, 0.005, 0.641)
O (0.372, 0.367, 0.859)
O (0.628, 0.633, 0.141)
O (0.628, 0.995, 0.359)
O (0.633, 0.005, 0.859)
O (0.633, 0.628, 0.641)
O (0.995, 0.367, 0.641)
O (0.995, 0.628, 0.859)

Results
E = -7.9567 eV per atom
Crystal system = trigonal
E_form (uncorrected) = -2.243 eV per atom

Here is a relaxed structure of GaAg5Au4 from the Alexandria database. Energies are from PBE-GGA.

Unit cell a=7.373 b=7.373 c=8.988 alpha=93.94 beta=93.94 gamma=22.91
Fractional positions:
Ga (0.000, 0.000, 0.000)
Ag (0.000, 0.000, 0.500)
Ag (0.319, 0.319, 0.422)
Ag (0.331, 0.331, 0.752)
Ag (0.669, 0.669, 0.248)
Ag (0.681, 0.681, 0.578)
Au (0.175, 0.175, 0.935)
Au (0.471, 0.471, 0.236)
Au (0.529, 0.529, 0.764)
Au (0.825, 0.825, 0.065)

Results
E = -3.0047 eV per atom
ΔE_f = 35 meV per atom
Crystal system = monoclinic
Energy above the most stable polymorph in this dataset = 90 meV per atom

Here is a relaxed structure of Pu3Pd4Pt4 from the Alexandria database. Energies are from PBE-GGA.

Unit cell a=6.779 b=6.779 c=6.779 alpha=109.47 beta=109.47 gamma=109.47
Fractional positions:
Pu (0.000, 0.500, 0.500)
Pu (0.500, 0.000, 0.500)
Pu (0.500, 0.500, 0.000)
Pd (0.000, 0.000, 0.245)
Pd (0.000, 0.245, 0.000)
Pd (0.245, 0.000, 0.000)
Pd (0.755, 0.755, 0.755)
Pt (0.000, 0.000, 0.605)
Pt (0.000, 0.605, 0.000)
Pt (0.395, 0.395, 0.395)
Pt (0.605, 0.000, 0.000)

Results
E = -8.1610 eV per atom
ΔE_f = -167 meV per atom
Crystal system = cubic

Here is a relaxed structure of KRbSr2Sc from the Alexandria database. Energies are from PBE-GGA.

Unit cell a=6.704 b=6.704 c=7.201 alpha=90.00 beta=90.00 gamma=90.00
Fractional positions:
K (0.000, 0.000, 0.000)
Rb (0.500, 0.500, 0.000)
Sr (0.000, 0.500, 0.500)
Sr (0.500, 0.000, 0.500)
Sc (0.500, 0.500, 0.500)

Results
E = -1.7638 eV per atom
ΔE_f = 588 meV per atom
Crystal system = tetragonal

Here is a relaxed structure of ScCr2Ni from the Alexandria database. Energies are from PBE-GGA.

Unit cell a=2.692 b=2.692 c=7.947 alpha=90.00 beta=90.00 gamma=108.71
Fractional positions:
Sc (0.000, 0.000, 0.000)
Cr (0.000, 0.000, 0.498)
Cr (0.500, 0.500, 0.712)
Ni (0.500, 0.500, 0.267)

Results
E = -7.6178 eV per atom
ΔE_f = 222 meV per atom
Crystal system = orthorhombic
Energy above the most stable polymorph in this dataset = 179 meV per atom